Record 1
# GGA-PBE TlRe2Hg, optimized geometry
data_TlRe2Hg
_space_group_name_H-M_alt 'R 3 m'
_space_group_IT_number 160
_space_group_name_Hall 'R 3 -2"'
_cell_length_a 2.9160
_cell_length_b 2.9160
_cell_length_c 32.3318
_cell_angle_alpha 90.00
_cell_angle_beta 90.00
_cell_angle_gamma 120.00
loop_
_atom_site_label
_atom_site_type_symbol
_atom_site_fract_x
_atom_site_fract_y
_atom_site_fract_z
Tl1 Tl 0.0000 0.0000 0.0000
Re1 Re 0.0000 0.0000 0.2517
Re2 Re 0.0000 0.0000 0.5232
Hg1 Hg 0.0000 0.0000 0.7763
# Distance to the lowest polymorph of the same formula: 90 meV per atom
# Energy: -6.354 eV per atom
# Formation energy: 0.54 eV per atom
# Crystal system: trigonal

Record 2
# GGA-PBE Mg2AsPb, optimized geometry
data_Mg2AsPb
_space_group_name_H-M_alt 'C 1 m 1'
_space_group_IT_number 8
_cell_length_a 8.7628
_cell_length_b 3.9664
_cell_length_c 6.2113
_cell_angle_alpha 90.00
_cell_angle_beta 112.73
_cell_angle_gamma 90.00
loop_
_space_group_symop_operation_xyz
'x,y,z'
'x,-y,z'
'x+1/2,y+1/2,z'
'x+1/2,-y+1/2,z'
loop_
_atom_site_label
_atom_site_type_symbol
_atom_site_fract_x
_atom_site_fract_y
_atom_site_fract_z
Mg1 Mg 0.0000 0.0000 0.0000
Mg2 Mg 0.1871 0.0000 0.5850
As1 As 0.0388 0.5000 0.7423
Pb1 Pb 0.2918 0.5000 0.2676
# Distance to the lowest polymorph of the same formula: 5 meV per atom
# Energy: -3.105 eV per atom
# Formation energy: -0.22 eV per atom
# Crystal system: monoclinic

Record 3
# GGA-PBE HfIn4Ni15, optimized geometry
data_HfIn4Ni15
_space_group_name_H-M_alt 'P 4/m m m'
_space_group_IT_number 123
_space_group_name_Hall '-P 4 2'
_cell_length_a 3.7351
_cell_length_b 3.7351
_cell_length_c 18.7256
_cell_angle_alpha 90.00
_cell_angle_beta 90.00
_cell_angle_gamma 90.00
loop_
_atom_site_label
_atom_site_type_symbol
_atom_site_fract_x
_atom_site_fract_y
_atom_site_fract_z
Hf1 Hf 0.0000 0.0000 0.0000
In1 In 0.0000 0.0000 0.1997
In2 In 0.0000 0.0000 0.3997
Ni1 Ni 0.0000 0.5000 0.0987
Ni2 Ni 0.0000 0.5000 0.2995
Ni3 Ni 0.0000 0.5000 0.5000
Ni4 Ni 0.5000 0.5000 0.0000
Ni5 Ni 0.5000 0.5000 0.1993
Ni6 Ni 0.5000 0.5000 0.4001
# Energy: -5.526 eV per atom
# Formation energy: -0.14 eV per atom
# Crystal system: tetragonal

Record 4
# GGA-PBE Ce2ErRh6, optimized geometry
data_Ce2ErRh6
_space_group_name_H-M_alt 'C 1 2/m 1'
_space_group_IT_number 12
_cell_length_a 12.3626
_cell_length_b 8.0606
_cell_length_c 3.8689
_cell_angle_alpha 90.00
_cell_angle_beta 108.18
_cell_angle_gamma 90.00
loop_
_space_group_symop_operation_xyz
'x,y,z'
'-x,-y,-z'
'-x,y,-z'
'x,-y,z'
'x+1/2,y+1/2,z'
'-x+1/2,-y+1/2,-z'
'-x+1/2,y+1/2,-z'
'x+1/2,-y+1/2,z'
loop_
_atom_site_label
_atom_site_type_symbol
_atom_site_fract_x
_atom_site_fract_y
_atom_site_fract_z
Ce1 Ce 0.1676 0.0000 0.1731
Er1 Er 0.0000 0.5000 0.5000
Rh1 Rh 0.0000 0.2374 0.0000
Rh2 Rh 0.1663 0.2422 0.6672
# Energy: -7.141 eV per atom
# Formation energy: -0.41 eV per atom
# Crystal system: monoclinic

> The lowest energy belongs to which entry?

Ce2ErRh6